7
Lattice="-2.748 3.946 0.273 -0.726 -0.831 4.688 3.880 5.362 4.025" Properties=species:S:1:pos:R:3 comment="Re4Bi2W, relaxed, DFT PBE-GGA" volume_a3_per_atom=23.05 magmom_total_mub_per_cell=0.31 sg=I4/mmm ef_kj_per_mol_atoms=197 pbc="T T T"
Re -0.363 -0.415 2.344
Re -1.374 1.973 0.137
Re 1.941 4.049 3.492
Re -1.535 4.428 5.494
W 0.000 0.000 0.000
Bi -0.278 2.546 2.882
Bi 0.684 5.931 6.104